<w>
{"formula": "PmPr3Al8", "functional": "PBE", "state": "optimized geometry", "lattice": [[5.690, 0.000, 0.000], [-2.845, 4.928, 0.000], [0.000, 0.000, 9.386]], "species": ["Pm", "Pr", "Pr", "Pr", "Al", "Al", "Al", "Al", "Al", "Al", "Al", "Al"], "frac_coords": [[0.000, 0.000, 0.000], [0.000, 0.000, 0.364], [0.667, 0.333, 0.500], [0.667, 0.333, 0.864], [0.162, 0.324, 0.683], [0.162, 0.838, 0.683], [0.333, 0.667, 0.431], [0.333, 0.667, 0.932], [0.504, 0.009, 0.180], [0.504, 0.496, 0.180], [0.676, 0.838, 0.683], [0.991, 0.496, 0.180]], "space_group": "P3m1", "density_g_cm3": 4.94, "m_tot_mub_per_fu": 0.0}


<x>
{"formula": "PmPr3Al8", "functional": "PBE", "state": "optimized geometry", "lattice": [[2.849, 1.645, 9.317], [-2.849, 1.645, 9.317], [0.000, -3.290, 9.317]], "species": ["Pm", "Pr", "Pr", "Pr", "Al", "Al", "Al", "Al", "Al", "Al", "Al", "Al"], "frac_coords": [[0.000, 0.000, 0.000], [0.375, 0.375, 0.375], [0.500, 0.500, 0.500], [0.875, 0.875, 0.875], [0.188, 0.188, 0.188], [0.437, 0.937, 0.937], [0.438, 0.438, 0.938], [0.438, 0.938, 0.438], [0.687, 0.687, 0.687], [0.937, 0.437, 0.937], [0.937, 0.937, 0.437], [0.938, 0.438, 0.438]], "space_group": "R3m", "density_g_cm3": 4.97, "m_tot_mub_per_fu": 0.0}


Sorted by energy, starting with the most stable: <x>, <w>.


<w>
{"formula": "PmPrAl", "functional": "PBE", "state": "optimized geometry", "lattice": [[5.168, 0.000, 0.000], [-2.584, 4.476, 0.000], [0.000, 0.000, 3.731]], "species": ["Pm", "Pr", "Al"], "frac_coords": [[0.000, 0.000, 0.000], [0.667, 0.333, 0.413], [0.333, 0.667, 0.723]], "space_group": "P3m1", "density_g_cm3": 6.02, "m_tot_mub_per_fu": 0.0}


<x>
{"formula": "PmPrAl", "functional": "PBE", "state": "optimized geometry", "lattice": [[-1.768, 1.768, 7.049], [1.768, -1.768, 7.049], [1.768, 1.768, -7.049]], "species": ["Pm", "Pr", "Al"], "frac_coords": [[0.000, 0.000, 0.000], [0.709, 0.709, 0.000], [0.358, 0.358, 0.000]], "space_group": "I4mm", "density_g_cm3": 5.90, "m_tot_mub_per_fu": 0.0}


<y>
{"formula": "PmPrAl", "functional": "PBE", "state": "optimized geometry", "lattice": [[0.000, 3.672, 3.672], [3.672, 0.000, 3.672], [3.672, 3.672, 0.000]], "species": ["Pm", "Pr", "Al"], "frac_coords": [[0.000, 0.000, 0.000], [0.500, 0.500, 0.500], [0.750, 0.750, 0.750]], "space_group": "F-43m", "density_g_cm3": 5.25, "m_tot_mub_per_fu": 0.0}


Sorted by energy, starting with the most stable: <x>, <w>, <y>.


<w>
{"formula": "PmPr5Al2", "functional": "PBE", "state": "optimized geometry", "lattice": [[5.494, 0.000, 0.000], [-2.747, 4.758, 0.000], [0.000, 0.000, 20.284]], "species": ["Pm", "Pm", "Pr", "Pr", "Pr", "Pr", "Pr", "Pr", "Pr", "Pr", "Pr", "Pr", "Al", "Al", "Al", "Al"], "frac_coords": [[0.333, 0.667, 0.250], [0.667, 0.333, 0.750], [0.000, 0.000, 0.154], [0.000, 0.000, 0.346], [0.000, 0.000, 0.654], [0.000, 0.000, 0.846], [0.333, 0.667, 0.556], [0.333, 0.667, 0.750], [0.333, 0.667, 0.944], [0.667, 0.333, 0.056], [0.667, 0.333, 0.250], [0.667, 0.333, 0.444], [0.333, 0.667, 0.100], [0.333, 0.667, 0.400], [0.667, 0.333, 0.600], [0.667, 0.333, 0.900]], "space_group": "P6_3/mmc", "density_g_cm3": 5.66, "m_tot_mub_per_fu": 0.0}


<x>
{"formula": "PmPr5Al2", "functional": "PBE", "state": "optimized geometry", "lattice": [[-1.866, 5.401, 6.228], [1.866, -5.401, 6.228], [1.866, 5.401, -6.228]], "species": ["Pm", "Pr", "Pr", "Pr", "Pr", "Pr", "Al", "Al"], "frac_coords": [[0.000, 0.000, 0.000], [0.140, 0.357, 0.783], [0.425, 0.643, 0.783], [0.500, 0.000, 0.500], [0.575, 0.357, 0.217], [0.860, 0.643, 0.217], [0.224, 0.724, 0.500], [0.776, 0.276, 0.500]], "space_group": "Immm", "density_g_cm3": 5.98, "m_tot_mub_per_fu": 0.0}


Sorted by energy, starting with the most stable: <x>, <w>.


<w>
{"formula": "Pm3PrAl2", "functional": "PBE", "state": "optimized geometry", "lattice": [[8.213, -2.653, 0.000], [8.213, 2.653, 0.000], [-4.571, 0.000, 8.020]], "species": ["Pm", "Pm", "Pm", "Pm", "Pm", "Pm", "Pr", "Pr", "Al", "Al", "Al", "Al"], "frac_coords": [[0.062, 0.062, 0.215], [0.313, 0.313, 0.500], [0.381, 0.381, 0.970], [0.619, 0.619, 0.030], [0.687, 0.687, 0.500], [0.938, 0.938, 0.785], [0.130, 0.130, 0.685], [0.870, 0.870, 0.315], [0.233, 0.233, 0.098], [0.479, 0.479, 0.346], [0.521, 0.521, 0.654], [0.767, 0.767, 0.902]], "space_group": "C2/m", "density_g_cm3": 5.99, "m_tot_mub_per_fu": 0.0}


<x>
{"formula": "Pm3PrAl2", "functional": "PBE", "state": "optimized geometry", "lattice": [[5.247, 0.000, 0.000], [0.000, 9.841, 0.000], [0.000, 0.000, 6.720]], "species": ["Pm", "Pm", "Pm", "Pm", "Pm", "Pm", "Pr", "Pr", "Al", "Al", "Al", "Al"], "frac_coords": [[0.000, 0.047, 0.000], [0.000, 0.325, 0.338], [0.000, 0.675, 0.838], [0.000, 0.953, 0.500], [0.500, 0.172, 0.714], [0.500, 0.828, 0.214], [0.500, 0.454, 0.053], [0.500, 0.546, 0.553], [0.000, 0.351, 0.817], [0.000, 0.649, 0.317], [0.500, 0.147, 0.235], [0.500, 0.853, 0.735]], "space_group": "Pmc2_1", "density_g_cm3": 6.03, "m_tot_mub_per_fu": 0.0}


Sorted by energy, starting with the most stable: <x>, <w>.


<w>
{"formula": "PmPrAlSi", "functional": "PBE", "state": "optimized geometry", "lattice": [[4.088, 0.000, 0.000], [0.000, 2.242, 5.656], [0.000, -2.242, 5.656]], "species": ["Pm", "Pr", "Al", "Si"], "frac_coords": [[0.000, 0.000, 0.000], [0.500, 0.716, 0.716], [0.500, 0.425, 0.425], [0.000, 0.288, 0.288]], "space_group": "Amm2", "density_g_cm3": 5.46, "m_tot_mub_per_fu": 0.0}


<x>
{"formula": "PmPrAlSi", "functional": "PBE", "state": "optimized geometry", "lattice": [[0.000, 3.691, 3.691], [3.691, 0.000, 3.691], [3.691, 3.691, 0.000]], "species": ["Pm", "Pr", "Al", "Si"], "frac_coords": [[0.000, 0.000, 0.000], [0.500, 0.500, 0.500], [0.750, 0.750, 0.750], [0.250, 0.250, 0.250]], "space_group": "F-43m", "density_g_cm3": 5.63, "m_tot_mub_per_fu": 0.0}


Sorted by energy, starting with the most stable: <w>, <x>.


<w>
{"formula": "TbPmPrAl", "functional": "PBE", "state": "optimized geometry", "lattice": [[0.000, 3.867, 3.867], [3.867, 0.000, 3.867], [3.867, 3.867, 0.000]], "species": ["Tb", "Pm", "Pr", "Al"], "frac_coords": [[0.000, 0.000, 0.000], [0.750, 0.750, 0.750], [0.250, 0.250, 0.250], [0.500, 0.500, 0.500]], "space_group": "F-43m", "density_g_cm3": 6.77, "m_tot_mub_per_fu": 0.0}


<x>
{"formula": "TbPmPrAl", "functional": "PBE", "state": "optimized geometry", "lattice": [[3.576, 0.000, 0.000], [0.000, 3.576, 0.000], [0.000, 0.000, 9.282]], "species": ["Tb", "Pm", "Pr", "Al"], "frac_coords": [[0.000, 0.000, 0.000], [0.000, 0.000, 0.418], [0.500, 0.500, 0.715], [0.500, 0.500, 0.204]], "space_group": "P4mm", "density_g_cm3": 6.60, "m_tot_mub_per_fu": 0.0}


Sorted by energy, starting with the most stable: <x>, <w>.